LiAl8Fe2 after structural relaxation. Source: Alexandria, functional GGA-PBE.

Cell and atoms, written as CIF:
```
data_LiAl8Fe2
_cell_length_a 4.1522
_cell_length_b 5.1198
_cell_length_c 7.9893
_cell_angle_alpha 111.47
_cell_angle_beta 89.98
_cell_angle_gamma 90.00
_symmetry_space_group_name_H-M 'P 1'
_symmetry_Int_Tables_number 1
loop_
_symmetry_equiv_pos_as_xyz
'x,y,z'
loop_
_atom_site_label
_atom_site_type_symbol
_atom_site_fract_x
_atom_site_fract_y
_atom_site_fract_z
_atom_site_occupancy
Al1 Al 0.8179 0.4373 0.5692 1
Al2 Al 0.3181 0.3582 0.3287 1
Al3 Al 0.3179 0.7911 0.6787 1
Al4 Al 0.8179 0.8884 0.4833 1
Fe1 Fe 0.3181 0.2280 0.6149 1
Fe2 Fe 0.8179 0.5198 0.1673 1
Al5 Al 0.8184 0.9858 0.1142 1
Al6 Al 0.3187 0.5892 0.9336 1
Li1 Li 0.3186 0.1563 0.9991 1
Al7 Al 0.8185 0.2196 0.8311 1
Al8 Al 0.3180 0.8264 0.2799 1
```

## Properties
Spin magnetization in μB/f.u.: 0.0
Total energy in eV per atom: -4.61
Formation energy from the elements in eV/atom: -0.17



LiAl2Fe after structural relaxation. Source: Alexandria, functional GGA-PBE.

Cell and atoms, written as CIF:
```
data_LiAl2Fe
_cell_length_a 3.1385
_cell_length_b 3.1385
_cell_length_c 5.6020
_cell_angle_alpha 90.00
_cell_angle_beta 90.00
_cell_angle_gamma 90.00
_symmetry_space_group_name_H-M 'P 1'
_symmetry_Int_Tables_number 1
loop_
_symmetry_equiv_pos_as_xyz
'x,y,z'
loop_
_atom_site_label
_atom_site_type_symbol
_atom_site_fract_x
_atom_site_fract_y
_atom_site_fract_z
_atom_site_occupancy
Al1 Al 0.0000 0.0000 0.9860 1
Fe1 Fe 0.0000 0.0000 0.4894 1
Al2 Al 0.5000 0.5000 0.2860 1
Li1 Li 0.5000 0.5000 0.7385 1
```

## Properties
Spin magnetization in μB/f.u.: 1.8
Total energy in eV per atom: -4.45
Formation energy from the elements in eV/atom: 0.02



LiAlFe2 after structural relaxation. Source: Alexandria, functional GGA-PBE.

Cell and atoms, written as CIF:
```
data_LiAlFe2
_cell_length_a 2.9451
_cell_length_b 2.9451
_cell_length_c 5.9223
_cell_angle_alpha 90.00
_cell_angle_beta 90.00
_cell_angle_gamma 90.00
_symmetry_space_group_name_H-M 'P 1'
_symmetry_Int_Tables_number 1
loop_
_symmetry_equiv_pos_as_xyz
'x,y,z'
loop_
_atom_site_label
_atom_site_type_symbol
_atom_site_fract_x
_atom_site_fract_y
_atom_site_fract_z
_atom_site_occupancy
Li1 Li 0.0000 0.0000 0.4882 1
Fe1 Fe 0.0000 0.0000 0.0184 1
Fe2 Fe 0.5000 0.5000 0.2226 1
Al1 Al 0.5000 0.5000 0.7708 1
```

## Properties
Spin magnetization in μB/f.u.: 4.1
Total energy in eV per atom: -5.64
Formation energy from the elements in eV/atom: 0.01



LiAl2Fe after structural relaxation. Source: Alexandria, functional GGA-PBE.

Cell and atoms, written as CIF:
```
data_LiAl2Fe
_cell_length_a 8.8897
_cell_length_b 8.8897
_cell_length_c 8.8897
_cell_angle_alpha 17.84
_cell_angle_beta 17.84
_cell_angle_gamma 17.84
_symmetry_space_group_name_H-M 'P 1'
_symmetry_Int_Tables_number 1
loop_
_symmetry_equiv_pos_as_xyz
'x,y,z'
loop_
_atom_site_label
_atom_site_type_symbol
_atom_site_fract_x
_atom_site_fract_y
_atom_site_fract_z
_atom_site_occupancy
Li1 Li 0.2500 0.2500 0.2500 1
Al1 Al 0.4923 0.4923 0.4923 1
Fe1 Fe 0.7500 0.7500 0.7500 1
Al2 Al 0.0077 0.0077 0.0077 1
```

## Properties
Spin magnetization in μB/f.u.: 1.8
Total energy in eV per atom: -4.54
Formation energy from the elements in eV/atom: -0.08



LiAl2Fe2 after structural relaxation. Source: Alexandria, functional GGA-PBE.

Cell and atoms, written as CIF:
```
data_LiAl2Fe2
_cell_length_a 7.3071
_cell_length_b 7.3071
_cell_length_c 2.6108
_cell_angle_alpha 90.00
_cell_angle_beta 90.00
_cell_angle_gamma 90.00
_symmetry_space_group_name_H-M 'P 1'
_symmetry_Int_Tables_number 1
loop_
_symmetry_equiv_pos_as_xyz
'x,y,z'
loop_
_atom_site_label
_atom_site_type_symbol
_atom_site_fract_x
_atom_site_fract_y
_atom_site_fract_z
_atom_site_occupancy
Li1 Li 0.5000 0.5000 0.0000 1
Fe1 Fe 0.6144 0.1144 0.0000 1
Fe2 Fe 0.8856 0.6144 0.0000 1
Fe3 Fe 0.1144 0.3856 0.0000 1
Fe4 Fe 0.3856 0.8856 0.0000 1
Li2 Li 0.0000 0.0000 0.0000 1
Al1 Al 0.1798 0.6798 0.5000 1
Al2 Al 0.8202 0.3202 0.5000 1
Al3 Al 0.3202 0.1798 0.5000 1
Al4 Al 0.6798 0.8202 0.5000 1
```

## Properties
Spin magnetization in μB/f.u.: 3.5
Total energy in eV per atom: -5.44
Formation energy from the elements in eV/atom: -0.17
Excess energy over the best structure of this formula in the dataset in eV/atom: 0.000



LiAlFe2 after structural relaxation. Source: Alexandria, functional GGA-PBE.

Cell and atoms, written as CIF:
```
data_LiAlFe2
_cell_length_a 4.7106
_cell_length_b 4.7106
_cell_length_c 4.7106
_cell_angle_alpha 141.91
_cell_angle_beta 128.81
_cell_angle_gamma 65.56
_symmetry_space_group_name_H-M 'P 1'
_symmetry_Int_Tables_number 1
loop_
_symmetry_equiv_pos_as_xyz
'x,y,z'
loop_
_atom_site_label
_atom_site_type_symbol
_atom_site_fract_x
_atom_site_fract_y
_atom_site_fract_z
_atom_site_occupancy
Li1 Li 0.5064 0.5064 0.0000 1
Al1 Al 0.2472 0.7472 0.5000 1
Fe1 Fe 0.9867 0.9867 0.0000 1
Fe2 Fe 0.7597 0.2597 0.5000 1
```

## Properties
Spin magnetization in μB/f.u.: 4.2
Total energy in eV per atom: -5.64
Formation energy from the elements in eV/atom: 0.00